[1]
NpTlCoBr6: optimized geometry, PBE.

ΔE_f (raw): -0.866 eV/atom
crystal system: trigonal

abc: 7.0291 7.0291 14.8975
angles: 90.00 90.00 120.00
Last column: nearest neighbours and their distance in Å.
Space group P-31c (No. 163)
Symmetry-distinct sites (fractional):
Np: 0.3333 0.6667 0.2500 [2 per cell]  6 Br 2.84
Tl: 0.0000 0.0000 0.0000 [2 per cell]  6 Br 3.35
Co: 0.3333 0.6667 0.7500 [2 per cell]  6 Br 2.64
Br: 0.0220 0.3754 0.6447 [12 per cell]  1 Co 2.64, 1 Np 2.84

[2]
Nd2SmTm6: optimized geometry, PBE.

E_form: 106 meV/atom
excess energy over the best structure of this formula in the dataset: 0.29 eV per formula unit
crystal system: monoclinic

abc: 12.7976 14.0915 6.5360
angles: 90.00 102.88 90.00
Last column: nearest neighbours and their distance in Å.
Space group C2/c (No. 15)
Symmetry-distinct sites (fractional):
Nd: 0.1428 0.0274 0.3740 [8 per cell]  3 Nd 3.36-3.65, 7 Tm 3.40-3.66
Sm: 0.0000 0.3805 0.2500 [4 per cell]  6 Tm 3.24-3.50
Tm: 0.0342 0.1886 0.0007 [8 per cell]  5 Tm 3.20-3.56, 1 Sm 3.24, 3 Nd 3.40-3.52
Tm: 0.1324 0.4124 0.8172 [8 per cell]  4 Tm 3.31-3.69, 2 Sm 3.35-3.64, 2 Nd 3.49-3.52
Tm: 0.2405 0.2025 0.7347 [8 per cell]  7 Tm 3.36-3.67, 2 Nd 3.45-3.66, 1 Sm 3.50

[3]
TaVS2Cl: optimized geometry, PBE.

excess energy over the best structure of this formula in the dataset: 1.77 eV per formula unit
ΔE_f (raw): 0.351 eV/atom
crystal system: tetragonal

abc: 4.6670 4.6670 4.5023
angles: 90.00 90.00 90.00
Last column: nearest neighbours and their distance in Å.
Space group P4/mmm (No. 123)
Symmetry-distinct sites (fractional):
Ta: 0.0000 0.0000 0.0000 [1 per cell]  8 S 3.24, 4 Cl 3.30
V: 0.5000 0.5000 0.5000 [1 per cell]  2 Cl 2.25, 4 S 2.33
S: 0.0000 0.5000 0.5000 [2 per cell]  2 V 2.33
Cl: 0.5000 0.5000 0.0000 [1 per cell]  2 V 2.25

[4]
Sc4TlO: optimized geometry, PBE.

ΔE_f (raw): -1.088 eV/atom
crystal system: monoclinic

abc: 14.6812 5.1690 6.6396
angles: 90.00 105.87 90.00
Last column: nearest neighbours and their distance in Å.
Space group C2/c (No. 15)
Symmetry-distinct sites (fractional):
Sc: 0.1157 0.0155 0.4264 [8 per cell]  1 O 2.25
Sc: 0.1976 0.4890 0.2083 [8 per cell]  2 O 2.22-2.25
Tl: 0.0000 0.4805 0.7500 [4 per cell]  6 Sc 2.99-3.16, 2 Tl 3.33
O: 0.2500 0.2500 0.5000 [4 per cell]  6 Sc 2.22-2.25

[5]
ErUFe4: optimized geometry, PBE.

E_form: -35 meV/atom
excess energy over the best structure of this formula in the dataset: 0.00 eV per formula unit
crystal system: cubic

abc: 7.1481 7.1481 7.1481
angles: 90.00 90.00 90.00
Last column: nearest neighbours and their distance in Å.
Space group F-43m (No. 216)
Symmetry-distinct sites (fractional):
Er: 0.0000 0.0000 0.0000 [4 per cell]  12 Fe 2.96, 4 U 3.10
U: 0.2500 0.2500 0.7500 [4 per cell]  12 Fe 2.96, 4 Er 3.10
Fe: 0.1250 0.1250 0.3750 [16 per cell]  6 Fe 2.53

[6]
TcPt2Br: optimized geometry, PBE.

excess energy over the best structure of this formula in the dataset: 2.31 eV per formula unit
ΔE_f (raw): 0.788 eV/atom
crystal system: tetragonal

abc: 4.9962 4.9962 2.7491
angles: 90.00 90.00 90.00
Last column: nearest neighbours and their distance in Å.
Space group P4/mmm (No. 123)
Symmetry-distinct sites (fractional):
Tc: 0.0000 0.0000 0.0000 [1 per cell]  2 Tc 2.75, 8 Pt 2.85
Pt: 0.0000 0.5000 0.5000 [2 per cell]  2 Pt 2.75, 4 Tc 2.85, 4 Br 2.85
Br: 0.5000 0.5000 0.0000 [1 per cell]  2 Br 2.75, 8 Pt 2.85

[7]
LiMoPt4: optimized geometry, PBE.

E_form: 15 meV/atom
excess energy over the best structure of this formula in the dataset: 2.26 eV per formula unit
crystal system: cubic

abc: 7.4000 7.4000 7.4000
angles: 90.00 90.00 90.00
Last column: nearest neighbours and their distance in Å.
Space group F-43m (No. 216)
Symmetry-distinct sites (fractional):
Li: 0.0000 0.0000 0.0000 [4 per cell]  12 Pt 3.07, 4 Mo 3.20
Mo: 0.2500 0.2500 0.2500 [4 per cell]  12 Pt 3.07, 4 Li 3.20
Pt: 0.1252 0.1252 0.6252 [16 per cell]  6 Pt 2.61-2.62

[8]
CsRe2Pd2: optimized geometry, PBE.

E_form: 917 meV/atom
crystal system: tetragonal

abc: 8.4993 8.4993 2.8464
angles: 90.00 90.00 90.00
Last column: nearest neighbours and their distance in Å.
Space group P4/mbm (No. 127)
Symmetry-distinct sites (fractional):
Cs: 0.0000 0.0000 0.0000 [2 per cell]  2 Cs 2.85, 4 Pd 3.09
Re: 0.0952 0.4048 0.5000 [4 per cell]  1 Re 2.29
Pd: 0.1891 0.6891 0.0000 [4 per cell]  2 Pd 2.85, 6 Re 2.92-2.96, 2 Cs 3.09

[9]
HoSc5Rh4: optimized geometry, PBE.

E_form: -798 meV/atom
crystal system: tetragonal

abc: 3.2269 3.2269 18.1956
angles: 90.00 90.00 90.00
Last column: nearest neighbours and their distance in Å.
Space group P4/mmm (No. 123)
Symmetry-distinct sites (fractional):
Ho: 0.0000 0.0000 0.0000 [1 per cell]  4 Ho 3.23, 8 Sc 3.49
Sc: 0.5000 0.5000 0.1448 [2 per cell]  4 Rh 2.76
Sc: 0.5000 0.5000 0.3212 [2 per cell]  8 Rh 2.80-2.82
Sc: 0.5000 0.5000 0.5000 [1 per cell]  8 Rh 2.80
Rh: 0.0000 0.0000 0.2303 [2 per cell]  8 Sc 2.76-2.82
Rh: 0.0000 0.0000 0.4105 [2 per cell]  8 Sc 2.80

[10]
PmMgTlSb: optimized geometry, PBE.

ΔE_f (raw): -0.321 eV/atom
crystal system: cubic

abc: 7.5676 7.5676 7.5676
angles: 90.00 90.00 90.00
Last column: nearest neighbours and their distance in Å.
Space group F-43m (No. 216)
Symmetry-distinct sites (fractional):
Pm: 0.0000 0.0000 0.0000 [4 per cell]  4 Sb 3.28, 4 Tl 3.28
Mg: 0.0000 0.0000 0.5000 [4 per cell]  4 Tl 3.28, 4 Sb 3.28
Tl: 0.2500 0.2500 0.7500 [4 per cell]  4 Mg 3.28, 4 Pm 3.28
Sb: 0.2500 0.2500 0.2500 [4 per cell]  4 Mg 3.28, 4 Pm 3.28

[11]
TbDyPu2P4: optimized geometry, PBE.

E_form: -1384 meV/atom
crystal system: monoclinic

abc: 6.8946 4.0143 6.9519
angles: 90.00 109.65 90.00
Last column: nearest neighbours and their distance in Å.
Space group P2/m (No. 10)
Symmetry-distinct sites (fractional):
Tb: 0.0000 0.0000 0.0000 [1 per cell]  6 P 2.86
Dy: 0.0000 0.5000 0.5000 [1 per cell]  6 P 2.85
Pu: 0.5000 0.0000 0.5000 [1 per cell]  6 P 2.80
Pu: 0.5000 0.5000 0.0000 [1 per cell]  6 P 2.81
P: 0.2561 0.0000 0.7514 [2 per cell]  3 Pu 2.80-2.81, 2 Dy 2.85, 1 Tb 2.86
P: 0.2566 0.5000 0.2529 [2 per cell]  3 Pu 2.80-2.81, 1 Dy 2.85, 2 Tb 2.86

[12]
Cs3U2AgO9: optimized geometry, PBE.

ΔE_f (raw): -2.149 eV/atom
crystal system: trigonal

abc: 6.2630 6.2630 7.7136
angles: 90.00 90.00 120.00
Last column: nearest neighbours and their distance in Å.
Space group P-3m1 (No. 164)
Symmetry-distinct sites (fractional):
Cs: 0.0000 0.0000 0.0000 [1 per cell]  12 O 3.09-3.13
Cs: 0.3333 0.6667 0.6539 [2 per cell]  12 O 3.13-3.22
U: 0.3333 0.6667 0.1628 [2 per cell]  6 O 2.01-2.20
Ag: 0.0000 0.0000 0.5000 [1 per cell]  6 O 2.45
O: 0.0000 0.5000 0.0000 [3 per cell]  2 U 2.20
O: 0.1806 0.3612 0.3095 [6 per cell]  1 U 2.01

[13]
LaSbF2: optimized geometry, PBE.

excess energy over the best structure of this formula in the dataset: 0.00 eV per formula unit
ΔE_f (raw): -2.621 eV/atom
crystal system: trigonal

abc: 4.0251 4.0251 19.4263
angles: 90.00 90.00 120.00
Last column: nearest neighbours and their distance in Å.
Space group R-3m (No. 166, hexagonal axes)
Symmetry-distinct sites (fractional):
La: 0.0000 0.0000 0.0000 [3 per cell]  6 F 2.40
Sb: 0.0000 0.0000 0.5000 [3 per cell]  8 F 3.52-3.83
F: 0.0000 0.0000 0.3029 [6 per cell]  3 La 2.40, 3 F 2.61

[14]
Ta2Tl2Te6Pd: optimized geometry, PBE.

ΔE_f (raw): -0.216 eV/atom
crystal system: monoclinic

abc: 6.7198 11.9902 8.7257
angles: 90.00 101.95 90.00
Last column: nearest neighbours and their distance in Å.
Space group C2/m (No. 12)
Symmetry-distinct sites (fractional):
Ta: 0.0000 0.1287 0.0000 [4 per cell]  6 Te 2.75-2.93
Tl: 0.0000 0.3033 0.5000 [4 per cell]  6 Te 3.42-3.55, 2 Tl 3.59
Te: 0.2070 0.3197 0.1743 [8 per cell]  2 Ta 2.79-2.93, 1 Pd 2.84
Te: 0.2408 0.0000 0.2256 [4 per cell]  2 Ta 2.75, 1 Pd 2.89
Pd: 0.0000 0.5000 0.0000 [2 per cell]  6 Te 2.84-2.89

[15]
NaTl4Cd2: optimized geometry, PBE.

E_form: -6 meV/atom
crystal system: triclinic

abc: 7.3532 7.7820 8.6600
angles: 102.27 113.84 106.28
Last column: nearest neighbours and their distance in Å.
Space group P1 (No. 1)
Symmetry-distinct sites (fractional):
Na: 0.0000 0.0000 0.0000 [1 per cell]  4 Cd 3.27-3.65, 5 Tl 3.38-3.64
Na: 0.3352 0.8535 0.6704 [1 per cell]  4 Cd 3.22-3.44, 6 Tl 3.29-3.48
Tl: 0.0409 0.5598 0.8033 [1 per cell]  3 Cd 3.14-3.47, 3 Tl 3.31-3.32, 1 Na 3.40
Tl: 0.2365 0.7062 0.2477 [1 per cell]  7 Tl 3.26-3.62, 1 Na 3.29, 2 Cd 3.44-3.46
Tl: 0.3905 0.2167 0.4603 [1 per cell]  3 Cd 3.02-3.19, 1 Tl 3.35
Tl: 0.4489 0.4080 0.1623 [1 per cell]  3 Cd 3.11-3.43, 4 Tl 3.26-3.45, 1 Na 3.38
Tl: 0.5176 0.9824 0.1129 [1 per cell]  6 Tl 3.28-3.53, 2 Cd 3.29-3.53, 2 Na 3.31-3.58
Tl: 0.7427 0.2985 0.9418 [1 per cell]  3 Cd 3.15-3.37, 3 Tl 3.32-3.50, 2 Na 3.38-3.39
Tl: 0.8855 0.8296 0.3361 [1 per cell]  4 Cd 3.20-3.44, 3 Tl 3.29-3.38, 1 Na 3.32
Tl: 0.9734 0.3774 0.3911 [1 per cell]  6 Tl 3.32-3.66, 1 Na 3.48, 2 Cd 3.50-3.63
Cd: 0.2114 0.2191 0.7406 [1 per cell]  2 Cd 2.91-3.05, 2 Tl 3.11-3.19, 1 Na 3.23
Cd: 0.5699 0.6199 0.8865 [1 per cell]  2 Cd 3.03-3.05, 3 Tl 3.15-3.33, 2 Na 3.22-3.27
Cd: 0.6601 0.6681 0.5833 [1 per cell]  2 Cd 2.99-3.03, 3 Tl 3.14-3.21, 1 Na 3.33
Cd: 0.7401 0.0650 0.5804 [1 per cell]  2 Cd 2.91-2.99, 2 Tl 3.02-3.20

[16]
Pr4Dy5Th: optimized geometry, PBE.

E_form: 26 meV/atom
excess energy over the best structure of this formula in the dataset: 0.10 eV per formula unit
crystal system: monoclinic

abc: 25.8251 3.6374 7.1841
angles: 90.00 97.89 90.00
Last column: nearest neighbours and their distance in Å.
Space group C2/m (No. 12)
Symmetry-distinct sites (fractional):
Pr: 0.0973 0.0000 0.2991 [4 per cell]  6 Dy 3.56-3.67, 2 Th 3.57, 4 Pr 3.64-3.66
Pr: 0.2002 0.5000 0.1014 [4 per cell]  6 Dy 3.59-3.67, 6 Pr 3.62-3.66
Dy: 0.0000 0.5000 0.5000 [2 per cell]  4 Pr 3.56, 6 Dy 3.58-3.64, 2 Th 3.59
Dy: 0.0968 0.0000 0.8025 [4 per cell]  2 Th 3.54, 4 Pr 3.57-3.67, 6 Dy 3.58-3.69
Dy: 0.2002 0.5000 0.6015 [4 per cell]  6 Pr 3.59-3.67, 6 Dy 3.62-3.69
Th: 0.0000 0.5000 0.0000 [2 per cell]  6 Dy 3.54-3.59, 4 Pr 3.57, 2 Th 3.64

[17]
K4Pu3ThSe8: optimized geometry, PBE.

ΔE_f (raw): -1.508 eV/atom
crystal system: monoclinic

abc: 15.0352 8.6469 9.1426
angles: 90.00 123.18 90.00
Last column: nearest neighbours and their distance in Å.
Space group C2/m (No. 12)
Symmetry-distinct sites (fractional):
K: 0.0000 0.0000 0.0000 [2 per cell]  6 Se 3.37-3.38
K: 0.0000 0.5000 0.0000 [2 per cell]  6 Se 3.33-3.37
K: 0.2500 0.2500 0.0000 [4 per cell]  6 Se 3.34-3.37
Pu: 0.0000 0.0000 0.5000 [2 per cell]  6 Se 2.97-2.98
Pu: 0.2500 0.2500 0.5000 [4 per cell]  6 Se 2.94-2.99
Th: 0.0000 0.5000 0.5000 [2 per cell]  6 Se 2.94-2.95
Se: 0.0126 0.2532 0.2909 [8 per cell]  1 Th 2.94, 2 Pu 2.98-2.99
Se: 0.2342 0.5000 0.7076 [4 per cell]  1 Th 2.95, 2 Pu 2.97
Se: 0.2358 0.0000 0.7048 [4 per cell]  3 Pu 2.94-2.97

[18]
Sm2HfPd: optimized geometry, PBE.

E_form: -250 meV/atom
crystal system: tetragonal

abc: 3.5609 3.5609 7.9652
angles: 90.00 90.00 90.00
Last column: nearest neighbours and their distance in Å.
Space group P4/mmm (No. 123)
Symmetry-distinct sites (fractional):
Sm: 0.0000 0.0000 0.2219 [2 per cell]  4 Pd 3.08, 4 Hf 3.35
Hf: 0.5000 0.5000 0.5000 [1 per cell]  8 Sm 3.35, 4 Hf 3.56
Pd: 0.5000 0.5000 0.0000 [1 per cell]  8 Sm 3.08

[19]
AcAs2Rh: optimized geometry, PBE.

E_form: -319 meV/atom
excess energy over the best structure of this formula in the dataset: 2.37 eV per formula unit
crystal system: tetragonal

abc: 3.4525 3.4525 7.1356
angles: 90.00 90.00 90.00
Last column: nearest neighbours and their distance in Å.
Space group P4/mmm (No. 123)
Symmetry-distinct sites (fractional):
Ac: 0.0000 0.0000 0.0000 [1 per cell]  8 As 3.31, 4 Ac 3.45, 2 Rh 3.57
As: 0.5000 0.5000 0.3129 [2 per cell]  1 As 2.67, 4 Rh 2.78
Rh: 0.0000 0.0000 0.5000 [1 per cell]  8 As 2.78

[20]
LaAl2Se: optimized geometry, PBE.

excess energy over the best structure of this formula in the dataset: 2.01 eV per formula unit
ΔE_f (raw): -0.116 eV/atom
crystal system: orthorhombic

abc: 3.9311 5.7865 8.5310
angles: 90.00 90.00 90.00
Last column: nearest neighbours and their distance in Å.
Space group Cmmm (No. 65)
Symmetry-distinct sites (fractional):
La: 0.0000 0.0000 0.0000 [2 per cell]  4 Al 3.19, 4 La 3.50
Al: 0.0000 0.5000 0.2945 [4 per cell]  2 Se 2.63
Se: 0.0000 0.0000 0.5000 [2 per cell]  4 Al 2.63

no.,N(E_F) (states/eV/cell),VASP energy (eV/f.u.)
1,30.03,-40.2
2,46.21,-40.1
3,4.28,-29.3
4,23.25,-39.2
5,45.38,-49.9
6,3.51,-21.0
7,35.87,-36.8
8,9.81,-31.5
9,6.05,-73.6
10,16.26,-14.1
11,17.73,-70.6
12,9.03,-104.8
13,2.76,-23.3
14,15.75,-54.9
15,5.80,-12.7
16,26.68,-49.3
17,80.53,-106.8
18,4.37,-25.6
19,4.13,-22.0
20,4.99,-16.4